9
Lattice="-2.857 -5.499 -3.218 5.913 2.793 -2.447 2.159 -2.502 2.359" Properties=species:S:1:pos:R:3 comment="PBE-GGA ThGaNi, optimized geometry" dft_energy_ha_per_atom=-0.2197 pbc="T T T"
Th 2.361 -2.386 -1.197
Ga 1.390 0.656 -0.575
Ni 1.079 -1.251 1.180
Th 4.511 0.370 -0.241
Th -0.579 -4.443 -0.688
Ni 2.990 0.029 -2.704
Ni 0.066 -2.735 -2.961
Ga 2.338 -2.070 -4.334
Ga -0.671 -1.292 -0.756

---

24
Lattice="-0.674 13.873 4.108 -4.075 -0.197 -0.002 0.144 -3.101 10.497" Properties=species:S:1:pos:R:3 comment="PBE-GGA DySnAuS3, optimized geometry" e_above_lowest_polymorph_mev_per_atom=23 dft_energy_ha_per_atom=-0.1849 pbc="T T T"
S -1.592 11.711 6.318
Au -3.329 5.346 12.574
S -3.109 0.898 4.100
Au -1.552 10.868 8.473
S -1.135 2.231 10.174
S -3.246 3.684 7.289
Sn -3.085 0.335 10.645
S -1.495 9.677 10.502
Dy -3.042 -0.468 1.677
Dy -3.351 5.881 5.718
S -1.254 4.765 4.296
Au -3.053 -0.293 6.129
S -3.013 -1.136 8.284
Sn -1.519 10.240 3.957
S -3.522 9.313 13.766
Dy -1.253 4.694 8.885
Dy -1.563 11.043 12.925
Sn -3.472 8.327 9.126
S -1.083 1.261 0.836
Sn -1.133 2.248 5.476
S -3.470 8.344 4.428
Au -1.275 5.229 2.028
S -3.350 5.810 10.307
S -1.359 6.891 7.313

---

16
Lattice="9.169 0.000 0.000 -4.584 7.940 0.000 0.000 0.000 6.375" Properties=species:S:1:pos:R:3 comment="PBE-GGA Tb3Ho2Bi3, optimized geometry" dft_energy_ha_per_atom=-0.1877 pbc="T T T"
Bi 2.795 4.842 1.594
Tb 6.931 0.000 1.594
Ho 4.584 2.647 0.000
Tb 3.465 6.002 4.781
Bi -2.795 4.842 4.781
Bi 5.591 0.000 4.781
Tb 2.238 0.000 4.781
Tb -3.465 6.002 1.594
Ho 0.000 5.293 0.000
Tb 1.119 1.938 1.594
Bi 1.789 3.099 4.781
Bi -1.789 3.099 1.594
Ho 0.000 5.293 3.188
Tb -1.119 1.938 4.781
Bi 3.578 0.000 1.594
Ho 4.584 2.647 3.188

---

11
Lattice="3.414 0.000 0.000 0.000 3.321 5.843 0.000 -3.321 5.843" Properties=species:S:1:pos:R:3 comment="PBE-GGA MgCo6As2P2, optimized geometry" e_above_lowest_polymorph_mev_per_atom=0 dft_energy_ha_per_atom=-0.2325 pbc="T T T"
Co 1.707 0.000 2.443
Co 0.000 -1.286 8.648
Co 1.707 -1.345 4.639
Co 1.707 1.345 4.639
Co 0.000 1.286 8.648
As 1.707 1.495 6.933
Mg 0.000 0.000 11.532
P 1.707 0.000 9.484
Co 0.000 0.000 6.198
P 0.000 0.000 3.919
As 1.707 -1.495 6.933

---

68
Lattice="-1.577 5.931 0.058 -9.418 -2.573 7.085 10.057 2.536 14.289" Properties=species:S:1:pos:R:3 comment="PBE-GGA BaCu6Ge2S8, optimized geometry" dft_energy_ha_per_atom=-0.1627 pbc="T T T"
Cu -1.007 -0.037 8.820
Ba 0.267 0.486 5.180
S -1.596 3.740 19.216
S 2.864 2.710 5.351
S 0.658 2.154 2.216
Ba -1.205 5.408 16.251
Cu 0.068 5.931 12.612
S -2.978 0.497 14.118
S -4.893 3.473 11.882
S 4.782 6.040 16.178
Ge 6.277 5.007 11.057
Cu 2.512 6.547 16.084
S -4.635 3.062 5.779
S -5.401 1.130 9.055
S 4.463 4.764 12.377
S 7.274 3.258 14.266
S -8.127 2.904 10.659
Cu -9.579 3.401 8.942
Cu -4.684 1.432 12.920
S -2.428 3.619 8.915
S 3.697 2.832 15.652
Cu -0.777 2.479 12.048
S -1.605 4.335 13.123
Ge 2.659 0.682 8.916
Cu 5.238 4.404 14.615
Cu -3.668 2.122 10.380
Cu -6.176 1.490 6.816
Cu -3.450 -0.653 5.348
S 7.189 2.990 10.773
S -2.653 0.722 3.592
S -1.800 0.842 10.824
Cu -8.762 0.403 7.126
Ge -3.597 5.212 12.515
S -8.213 2.636 7.166
Ge -8.625 3.944 5.371
S 3.955 2.421 9.549
Ge -2.370 -0.585 1.772
S 1.714 5.172 17.839
S 2.040 5.397 7.313
Cu 7.823 5.491 14.305
Cu 8.641 2.493 12.490
S -3.803 3.184 16.081
Cu -4.238 2.387 3.591
S -1.880 4.408 1.743
Ge 1.702 3.217 14.594
S -5.720 -0.146 5.254
S 0.667 1.559 8.309
Ba -5.788 4.262 8.772
Cu 3.746 4.463 8.512
Ba 4.850 1.632 12.660
Cu 0.518 3.160 18.158
S -2.428 0.469 7.080
Cu -1.990 2.527 14.594
S 0.862 5.052 10.608
Cu -7.136 4.017 12.414
S 0.942 1.486 19.688
Cu 6.198 1.877 9.018
Cu 2.730 3.772 11.052
S -0.951 3.391 5.522
Ge -2.640 2.677 6.838
Cu 3.300 3.507 17.841
Ge -7.215 0.887 10.375
Cu 1.052 3.367 6.837
Cu -1.456 2.734 3.273
S 1.490 2.275 12.517
S 1.490 5.425 14.352
Cu -0.161 3.415 9.384
S 0.013 2.503 15.910

---

8
Lattice="2.083 -3.607 0.000 2.083 3.607 0.000 0.000 0.000 7.521" Properties=species:S:1:pos:R:3 comment="PBE-GGA LiGaCu2, optimized geometry" dft_energy_ha_per_atom=-0.1183 pbc="T T T"
Cu 2.083 1.202 6.910
Ga 0.000 0.000 0.000
Cu 2.083 -1.202 0.610
Cu 2.083 1.202 4.371
Cu 2.083 -1.202 3.150
Li 2.083 1.202 1.880
Ga 0.000 0.000 3.760
Li 2.083 -1.202 5.641

---

3
Lattice="0.000 3.417 3.417 3.417 0.000 3.417 3.417 3.417 0.000" Properties=species:S:1:pos:R:3 comment="PBE-GGA MgNpGe, optimized geometry" dft_energy_ha_per_atom=-0.2109 pbc="T T T"
Np 0.000 0.000 0.000
Mg 5.125 5.125 5.125
Ge 1.708 1.708 1.708

---

6
Lattice="0.000 3.283 3.283 3.283 0.000 3.283 3.283 3.283 0.000" Properties=species:S:1:pos:R:3 comment="PBE-GGA ErBe5, optimized geometry" dft_energy_ha_per_atom=-0.1343 pbc="T T T"
Be 4.108 2.459 4.108
Be 4.108 4.108 2.459
Be 2.459 2.459 2.459
Er 0.000 0.000 0.000
Be 2.459 4.108 4.108
Be 4.925 4.925 4.925

---

10
Lattice="5.877 -2.095 0.000 5.877 2.095 0.000 -5.651 0.000 10.879" Properties=species:S:1:pos:R:3 comment="PBE-GGA Ac2Zn2Ir, optimized geometry" ef_ev_per_atom=-0.471 dft_energy_ha_per_atom=-0.1613 pbc="T T T"
Zn 2.272 0.000 4.149
Ac 7.208 0.000 6.739
Ac -1.105 0.000 4.140
Zn -4.769 0.000 9.933
Ir 2.183 0.000 8.798
Ac 7.606 0.000 1.483
Ir 3.920 0.000 2.082
Ac -1.503 0.000 9.397
Zn 10.872 0.000 0.946
Zn 3.831 0.000 6.730

---

9
Lattice="-1.084 -6.463 -2.323 6.343 2.819 -0.398 0.993 -1.650 4.128" Properties=species:S:1:pos:R:3 comment="PBE-GGA SrCuSi, optimized geometry" dft_energy_ha_per_atom=-0.1356 pbc="T T T"
Cu 4.100 -2.841 -2.121
Cu 1.398 0.622 -0.088
Si 3.868 -0.275 -1.040
Si 0.496 -0.825 2.064
Si 1.392 -3.369 -1.681
Sr -0.119 -4.492 0.746
Sr 4.096 0.775 1.838
Cu -0.239 -1.425 -0.512
Sr 2.772 -2.402 0.887

---

2
Lattice="0.000 3.190 3.190 3.190 0.000 3.190 3.190 3.190 0.000" Properties=species:S:1:pos:R:3 comment="PBE-GGA TbTa, optimized geometry" ef_ev_per_atom=2.855 e_above_lowest_polymorph_mev_per_atom=2338 dft_energy_ha_per_atom=-0.1979 pbc="T T T"
Tb 1.595 1.595 1.595
Ta 0.000 0.000 0.000

---

4
Lattice="0.000 3.324 3.324 3.324 0.000 3.324 3.324 3.324 0.000" Properties=species:S:1:pos:R:3 comment="PBE-GGA Zr2BeZn, optimized geometry" dft_energy_ha_per_atom=-0.1872 pbc="T T T"
Be 1.662 1.662 1.662
Zr 4.986 4.986 4.986
Zr 0.000 0.000 0.000
Zn 3.324 3.324 3.324

---

| no. | ρ (g/cm³) | V (Å³/atom) |
| --- | --- | --- |
| 1 | 10.47 | 19.0 |
| 2 | 5.90 | 27.0 |
| 3 | 10.26 | 29.0 |
| 4 | 7.39 | 12.0 |
| 5 | 4.68 | 19.2 |
| 6 | 5.99 | 14.1 |
| 7 | 6.95 | 26.6 |
| 8 | 4.98 | 11.8 |
| 9 | 9.63 | 26.8 |
| 10 | 4.68 | 21.2 |
| 11 | 8.69 | 32.5 |
| 12 | 5.81 | 18.4 |